No. 1
RbBeNiI2 | PBE-GGA | optimized geometry

## Properties
magnetization = 0.00 μB/f.u.
formation energy (no corrections) = 0.045 eV per atom
SG = P4/mmm (123)

Cell lengths 5.6509, 4.3511, 5.6509 Å; angles 90.00, 90.00, 90.00 degrees
Element x y z (fractional)
Ni  0.0000  0.5000  0.0000
Rb  0.5000  0.5000  0.5000
Be  0.0000  0.0000  0.0000
I  0.5000  0.0000  0.0000
I  0.0000  0.0000  0.5000

---

No. 2
PuTl3Bi3S8 | PBE-GGA | optimized geometry

## Properties
magnetization = 4.00 μB/f.u.
formation energy (no corrections) = -0.618 eV per atom
SG = R-3m (166)

Cell lengths 8.1966, 8.1969, 8.8971 Å; angles 117.43, 90.00, 120.00 degrees
Site moments in Bohr magnetons follow the coordinates.
Element x y z (fractional)
Tl  0.0000  0.5000  0.0000  0.00
Tl  0.0000  0.0000  0.0000  0.00
Tl  0.5000  0.5000  0.0000  0.00
S  0.2250  0.4500  0.6992  -0.07
S  0.2632  0.5265  0.2898  0.00
S  0.7368  0.4735  0.7102  0.00
S  0.7750  0.5500  0.3008  -0.07
S  0.2507  0.0257  0.3008  -0.07
S  0.2250  0.9743  0.6992  -0.07
S  0.7493  0.9743  0.6992  -0.07
S  0.7750  0.0257  0.3008  -0.07
Bi  0.5000  0.5000  0.5000  0.01
Bi  0.0000  0.5000  0.5000  0.01
Bi  0.5000  0.0000  0.5000  0.01
Pu  0.0000  0.0000  0.5000  4.55

---

No. 3
La3Ag4Hg4 | PBE-GGA | optimized geometry

## Properties
magnetization = 0.00 μB/f.u.
formation enthalpy at 0 K = -0.32 eV per atom
SG = P-1 (2)

Cell lengths 3.5705, 4.9553, 15.7174 Å; angles 80.86, 83.49, 89.96 degrees
Element x y z (fractional)
Hg  0.4516  0.4512  0.0969
Hg  0.5484  0.5488  0.9031
Hg  0.3124  0.8121  0.3747
Hg  0.6876  0.1879  0.6253
La  0.0000  0.0000  0.0000
La  0.8591  0.3581  0.2824
La  0.1409  0.6420  0.7176
Ag  0.4066  0.9054  0.1879
Ag  0.2627  0.2618  0.4751
Ag  0.5934  0.0946  0.8121
Ag  0.7373  0.7382  0.5249

---

No. 4
Cr2CdHg | PBE-GGA | optimized geometry

## Properties
magnetization = 7.59 μB/f.u.
formation enthalpy at 0 K = 0.50 eV per atom
SG = P4/mmm (123)

Cell lengths 3.3470, 3.3470, 6.6095 Å; angles 90.00, 90.00, 90.00 degrees
Site moments in Bohr magnetons follow the coordinates.
Element x y z (fractional)
Cd  0.5000  0.5000  0.7500  -0.03
Hg  0.5000  0.5000  0.2500  -0.02
Cr  0.0000  0.0000  0.4972  3.52
Cr  0.0000  0.0000  0.0028  3.52